Record 1
4
Lattice="-1.9312 3.1326 -3.7134 -2.4241 -2.0536 -4.1519 -5.1725 0.5369 -0.5371" Properties=species:S:1:pos:R:3 comment="TbDySnAu, optimized geometry, DFT PBE" total_energy_ev_per_atom=-4.846 formation_enthalpy_0k_ev_per_atom=-0.718 pbc="T T T"
Tb 0.0000 0.0000 0.0000
Au -7.1459 1.2119 -6.3018
Sn -2.3820 0.4040 -2.1006
Dy -4.7639 0.8079 -4.2012

Record 2
6
Lattice="0.0000 3.4116 3.4116 3.4116 0.0000 3.4116 3.4116 3.4116 0.0000" Properties=species:S:1:pos:R:3 comment="LaBe4Re, optimized geometry, DFT PBE" total_energy_ev_per_atom=-5.108 formation_enthalpy_0k_ev_per_atom=0.272 pbc="T T T"
La 5.1174 5.1174 5.1174
Be 2.5318 4.2914 4.2914
Be 4.2914 4.2914 2.5318
Be 4.2914 2.5318 4.2914
Be 2.5318 2.5318 2.5318
Re 0.0000 0.0000 0.0000

Record 3
5
Lattice="5.3872 0.0000 0.0000 0.0000 4.9516 0.0000 0.0000 0.0000 5.3872" Properties=species:S:1:pos:R:3 comment="Ca2RhAuC, optimized geometry, DFT PBE" total_energy_ev_per_atom=-3.721 relative_energy_mev_per_atom=1438 formation_enthalpy_0k_ev_per_atom=1.051 pbc="T T T"
Rh 0.0000 0.0000 0.0000
Ca 0.0000 0.0000 2.6936
Ca 2.6936 0.0000 0.0000
Au 0.0000 2.4758 0.0000
C 2.6936 2.4758 2.6936

Record 4
5
Lattice="3.7678 0.0000 0.0000 0.0000 3.7678 0.0000 0.0000 0.0000 5.2759" Properties=species:S:1:pos:R:3 comment="AlPIrO2, optimized geometry, DFT PBE" formation_energy_uncorrected_mev_per_atom=-242 total_energy_ev_per_atom=-5.828 relative_energy_mev_per_atom=445 pbc="T T T"
P 0.0000 0.0000 2.6379
Ir 0.0000 0.0000 0.0000
Al 1.8839 1.8839 2.6379
O 0.0000 1.8839 0.0000
O 1.8839 0.0000 0.0000